# 1
Material: GdYTm2
Method: DFT, PBE
State: relaxed

POSCAR file:
```
GdYTm2
1.0
3.6059 -6.2433 0.0000
3.6059 6.2433 0.0000
0.0000 0.0000 5.6038
Tm Y Gd
4 2 2
Cartesian
1.8011 1.0320 1.4009
5.4107 -1.0320 4.2028
5.4107 1.0320 1.4009
1.8011 -1.0320 4.2028
3.6059 4.1720 1.4009
3.6059 -4.1720 4.2028
3.6059 2.0727 4.2028
3.6059 -2.0727 1.4009
```

Summary:
**Energy relative to the elements**: 0.00 eV per atom
**Total moment**: 0.001 μB per atom
**Calculated total energy**: -5.013 eV/atom

=====

# 2
Material: Gd2Y5Tm
Method: DFT, PBE
State: relaxed

POSCAR file:
```
Gd2Y5Tm
1.0
-4.3163 -3.6539 0.1422
2.4610 -2.6620 6.3005
-2.2346 2.8843 6.2870
Y Gd Tm
5 2 1
Cartesian
-1.9694 -1.6416 10.5637
-1.0826 1.4829 5.2422
-0.8481 -3.0886 7.4177
1.2714 -1.2976 5.2490
-3.2041 -0.3058 7.4109
0.1510 0.1483 8.3943
-2.0828 -1.7529 4.2622
0.0377 0.0370 2.0947
```

Summary:
**Energy relative to the elements**: 0.01 eV per atom
**Total moment**: 0.037 μB per atom
**Calculated total energy**: -5.758 eV/atom

=====

Among the records above, which one has the lowest energy relative to the elements?
GdYTm2

=====

Number 2 is which compound?
Gd2Y5Tm